1.
5
Lattice="-2.6103 3.9200 1.7664 -2.9685 -3.1380 2.5771 4.1299 0.3915 5.2340" Properties=species:S:1:pos:R:3 comment="meta-GGA SCAN AgSb2ICl, single point on PBEsol structure" raw_formation_energy_mev_per_atom=844 m_tot_mub_per_cell=1.54 total_energy_ev_per_atom=-29.28 sg="P4/mmm (123)" crystal_system=tetragonal pbc="T T T"
I 2.0650 0.1958 2.6170
Sb -1.4843 -1.5690 1.2885
Sb -1.3051 1.9600 0.8832
Ag -0.7244 0.5868 4.7888
Cl 0.0000 0.0000 0.0000

=====

2.
5
Lattice="-2.3876 -2.7797 2.8943 4.4618 -3.3646 0.4495 1.8179 2.9954 4.3764" Properties=species:S:1:pos:R:3 comment="meta-GGA SCAN In2AgSeCl, single point on PBEsol structure" raw_formation_energy_mev_per_atom=135 m_tot_mub_per_cell=0.00 total_energy_ev_per_atom=-25.10 sg="P4/mmm (123)" crystal_system=tetragonal pbc="T T T"
Cl 0.0000 0.0000 0.0000
Se 1.9460 -1.5744 3.8601
Ag -1.1938 -1.3898 1.4472
In 0.9090 1.4977 2.1882
In 2.2309 -1.6823 0.2247

=====

3.
4
Lattice="-4.0409 1.7306 -1.2366 -3.3977 0.2634 3.0397 -1.3262 4.0681 1.5953" Properties=species:S:1:pos:R:3 comment="meta-GGA SCAN Ag2IrCl, single point on PBEsol structure" raw_formation_energy_mev_per_atom=875 m_tot_mub_per_cell=1.57 total_energy_ev_per_atom=-34.58 sg="Fm-3m (225)" crystal_system=cubic pbc="T T T"
Ir -4.3824 3.0310 1.6992
Ag -6.5736 4.5465 2.5488
Ag -2.1912 1.5155 0.8496
Cl 0.0000 0.0000 0.0000